Entry from Alexandria: a relaxed K4Ac3NdO8 crystal (GGA-PBE).

Cell: 7.6238 7.6238 19.0406 Å, 90.00 90.00 120.00°
Space group R-3m (No. 166, hexagonal axes)
Inequivalent atoms, fractional coordinates:
K: 0.0000 0.0000 0.0000 (multiplicity 3)
K: 0.0000 0.5000 0.0000 (multiplicity 9)
Ac: 0.0000 0.5000 0.5000 (multiplicity 9)
Nd: 0.0000 0.0000 0.5000 (multiplicity 3)
O: 0.0000 0.0000 0.2320 (multiplicity 6)
O: 0.0100 0.5050 0.2310 (multiplicity 18)

Summary:
The total magnetization is 0.00 μB/f.u. The uncorrected formation energy comes out at -2.57 eV/atom. The calculation puts the density at 5.77 g cm⁻³.


Entry from Alexandria: a relaxed Nd4CoRhCl2 crystal (GGA-PBE).

Cell: 6.986 4.014 7.912 Å, 90.00 106.91 90.00°
Space group P2/m (No. 10)
Inequivalent atoms, fractional coordinates:
Nd: 0.224 0.000 0.201 (multiplicity 2)
Nd: 0.258 0.500 0.795 (multiplicity 2)
Co: 0.000 0.500 0.000 (multiplicity 1)
Rh: 0.500 0.000 0.000 (multiplicity 1)
Cl: 0.000 0.000 0.500 (multiplicity 1)
Cl: 0.500 0.500 0.500 (multiplicity 1)

Summary:
The total magnetization is 0.00 μB/f.u. The uncorrected formation energy comes out at -1.00 eV/atom. The calculation puts the density at 6.33 g cm⁻³.